# Cs3CaZn2F9

A relaxed Cs3CaZn2F9 crystal (PBE, the Alexandria database).

Computed properties:
Fermi-level density of states (states/eV per cell): 0.00
Final energy (eV/atom): -4.42
Uncorrected formation energy (meV/atom): -2823

Unit cell a=6.1925 b=6.1925 c=7.5922 alpha=90.00 beta=90.00 gamma=120.00
Closest atoms and distances in Å follow each position.
Fractional positions:
Cs: 0.0000 0.0000 0.0000  12 F 3.08-3.10
Cs: 0.3333 0.6667 0.6719  12 F 3.07-3.15
Cs: 0.6667 0.3333 0.3281  12 F 3.07-3.15
Ca: 0.0000 0.0000 0.5000  6 F 2.31
Zn: 0.3333 0.6667 0.1612  6 F 2.10-2.17
Zn: 0.6667 0.3333 0.8388  6 F 2.10-2.17
F: 0.0000 0.5000 0.0000  2 Zn 2.17
F: 0.1745 0.3489 0.3226  1 Zn 2.10, 1 Ca 2.31
F: 0.1745 0.8255 0.3226  1 Zn 2.10, 1 Ca 2.31
F: 0.3489 0.1745 0.6774  1 Zn 2.10, 1 Ca 2.31
F: 0.5000 0.0000 0.0000  2 Zn 2.17
F: 0.5000 0.5000 0.0000  2 Zn 2.17
F: 0.6511 0.8255 0.3226  1 Zn 2.10, 1 Ca 2.31
F: 0.8255 0.1745 0.6774  1 Zn 2.10, 1 Ca 2.31
F: 0.8255 0.6511 0.6774  1 Zn 2.10, 1 Ca 2.31

---

# Cs2CaFe

A relaxed Cs2CaFe crystal (PBE, the Alexandria database).

Computed properties:
Fermi-level density of states (states/eV per cell): 11.68
Final energy (eV/atom): -2.04
Excess energy over the best structure of this formula in the dataset (meV/atom): 0

Unit cell a=9.5750 b=9.5750 c=9.5750 alpha=90.00 beta=90.00 gamma=90.00
Closest atoms and distances in Å follow each position.
Fractional positions:
Cs: 0.2500 0.2500 0.2500  4 Fe 4.15, 4 Ca 4.15
Cs: 0.2500 0.2500 0.7500  4 Fe 4.15, 4 Ca 4.15
Cs: 0.2500 0.7500 0.2500  4 Fe 4.15, 4 Ca 4.15
Cs: 0.2500 0.7500 0.7500  4 Fe 4.15, 4 Ca 4.15
Cs: 0.7500 0.2500 0.2500  4 Fe 4.15, 4 Ca 4.15
Cs: 0.7500 0.2500 0.7500  4 Fe 4.15, 4 Ca 4.15
Cs: 0.7500 0.7500 0.2500  4 Fe 4.15, 4 Ca 4.15
Cs: 0.7500 0.7500 0.7500  4 Fe 4.15, 4 Ca 4.15
Ca: 0.0000 0.0000 0.0000  8 Cs 4.15
Ca: 0.0000 0.5000 0.5000  8 Cs 4.15
Ca: 0.5000 0.0000 0.5000  8 Cs 4.15
Ca: 0.5000 0.5000 0.0000  8 Cs 4.15
Fe: 0.0000 0.0000 0.5000  8 Cs 4.15
Fe: 0.0000 0.5000 0.0000  8 Cs 4.15
Fe: 0.5000 0.0000 0.0000  8 Cs 4.15
Fe: 0.5000 0.5000 0.5000  8 Cs 4.15

---

# CsCaFe2

A relaxed CsCaFe2 crystal (PBE, the Alexandria database).

Computed properties:
Fermi-level density of states (states/eV per cell): 28.77
Final energy (eV/atom): -3.54
Excess energy over the best structure of this formula in the dataset (meV/atom): 52

Unit cell a=8.4493 b=8.4493 c=6.0242 alpha=90.00 beta=90.00 gamma=90.00
Closest atoms and distances in Å follow each position.
Fractional positions:
Cs: 0.0000 0.0000 0.0000  2 Ca 3.01, 4 Fe 3.12
Cs: 0.0000 0.5000 0.2500  2 Ca 3.01, 4 Fe 3.12
Cs: 0.5000 0.0000 0.7500  2 Ca 3.01, 4 Fe 3.12
Cs: 0.5000 0.5000 0.5000  2 Ca 3.01, 4 Fe 3.12
Ca: 0.0000 0.0000 0.5000  2 Cs 3.01, 4 Fe 3.04
Ca: 0.0000 0.5000 0.7500  2 Cs 3.01, 4 Fe 3.04
Ca: 0.5000 0.0000 0.2500  2 Cs 3.01, 4 Fe 3.04
Ca: 0.5000 0.5000 0.0000  2 Cs 3.01, 4 Fe 3.04
Fe: 0.2427 0.2500 0.6250  2 Fe 3.01, 2 Ca 3.04, 2 Cs 3.12
Fe: 0.2500 0.7427 0.8750  2 Fe 3.01, 2 Ca 3.04, 2 Cs 3.12
Fe: 0.2500 0.7573 0.3750  2 Fe 3.01, 2 Ca 3.04, 2 Cs 3.12
Fe: 0.2573 0.2500 0.1250  2 Fe 3.01, 2 Ca 3.04, 2 Cs 3.12
Fe: 0.7427 0.7500 0.1250  2 Fe 3.01, 2 Ca 3.04, 2 Cs 3.12
Fe: 0.7500 0.2427 0.3750  2 Fe 3.01, 2 Ca 3.04, 2 Cs 3.12
Fe: 0.7500 0.2573 0.8750  2 Fe 3.01, 2 Ca 3.04, 2 Cs 3.12
Fe: 0.7573 0.7500 0.6250  2 Fe 3.01, 2 Ca 3.04, 2 Cs 3.12

---

# CsCaFe2

A relaxed CsCaFe2 crystal (PBE, the Alexandria database).

Computed properties:
Fermi-level density of states (states/eV per cell): 45.22
Final energy (eV/atom): -3.59
Excess energy over the best structure of this formula in the dataset (meV/atom): 0

Unit cell a=7.6766 b=7.6766 c=7.6766 alpha=90.00 beta=90.00 gamma=90.00
Closest atoms and distances in Å follow each position.
Fractional positions:
Cs: 0.0000 0.0000 0.0000  8 Fe 3.32
Cs: 0.0000 0.5000 0.5000  8 Fe 3.32
Cs: 0.5000 0.0000 0.5000  8 Fe 3.32
Cs: 0.5000 0.5000 0.0000  8 Fe 3.32
Ca: 0.0000 0.0000 0.5000  8 Fe 3.32
Ca: 0.0000 0.5000 0.0000  8 Fe 3.32
Ca: 0.5000 0.0000 0.0000  8 Fe 3.32
Ca: 0.5000 0.5000 0.5000  8 Fe 3.32
Fe: 0.2500 0.2500 0.2500  4 Ca 3.32, 4 Cs 3.32
Fe: 0.2500 0.2500 0.7500  4 Ca 3.32, 4 Cs 3.32
Fe: 0.2500 0.7500 0.2500  4 Ca 3.32, 4 Cs 3.32
Fe: 0.2500 0.7500 0.7500  4 Ca 3.32, 4 Cs 3.32
Fe: 0.7500 0.2500 0.2500  4 Ca 3.32, 4 Cs 3.32
Fe: 0.7500 0.2500 0.7500  4 Ca 3.32, 4 Cs 3.32
Fe: 0.7500 0.7500 0.2500  4 Ca 3.32, 4 Cs 3.32
Fe: 0.7500 0.7500 0.7500  4 Ca 3.32, 4 Cs 3.32

---

# Cs2CaFe

A relaxed Cs2CaFe crystal (PBE, the Alexandria database).

Computed properties:
Fermi-level density of states (states/eV per cell): 11.27
Final energy (eV/atom): -1.71
Excess energy over the best structure of this formula in the dataset (meV/atom): 335

Unit cell a=10.4916 b=10.4916 c=10.4916 alpha=60.00 beta=60.00 gamma=60.00
Closest atoms and distances in Å follow each position.
Fractional positions:
Cs: 0.0000 0.0000 0.0000  2 Fe 3.21
Cs: 0.0000 0.0000 0.5000  2 Fe 3.21
Cs: 0.0000 0.5000 0.0000  2 Fe 3.21
Cs: 0.5000 0.0000 0.0000  2 Fe 3.21
Ca: 0.3750 0.3750 0.3750  none within 6
Ca: 0.6250 0.6250 0.6250  none within 6
Fe: 0.1250 0.1250 0.1250  4 Cs 3.21
Fe: 0.8750 0.8750 0.8750  4 Cs 3.21

---

# CsCa3Fe

A relaxed CsCa3Fe crystal (PBE, the Alexandria database).

Computed properties:
Fermi-level density of states (states/eV per cell): 15.44
Final energy (eV/atom): -1.13

Unit cell a=5.7685 b=5.7685 c=5.7685 alpha=90.00 beta=90.00 gamma=90.00
Closest atoms and distances in Å follow each position.
Fractional positions:
Cs: 0.0000 0.0000 0.0000  6 Ca 2.88
Ca: 0.0000 0.0000 0.5000  2 Cs 2.88
Ca: 0.0000 0.5000 0.0000  2 Cs 2.88
Ca: 0.5000 0.0000 0.0000  2 Cs 2.88
Fe: 0.5000 0.5000 0.5000  12 Ca 4.08

---

# CsCaFeH2

A relaxed CsCaFeH2 crystal (PBE, the Alexandria database).

Computed properties:
Fermi-level density of states (states/eV per cell): 6.57
Final energy (eV/atom): -2.35

Unit cell a=4.9743 b=4.9743 c=5.3650 alpha=90.00 beta=90.00 gamma=90.00
Closest atoms and distances in Å follow each position.
Fractional positions:
Cs: 0.0000 0.0000 0.0000  4 H 2.49, 2 Fe 2.68
Ca: 0.5000 0.5000 0.5000  4 Fe 3.52, 8 H 3.66
Fe: 0.0000 0.0000 0.5000  2 Cs 2.68
H: 0.0000 0.5000 0.0000  2 Cs 2.49
H: 0.5000 0.0000 0.0000  2 Cs 2.49

---

# Cs2CaFeI6

A relaxed Cs2CaFeI6 crystal (PBE, the Alexandria database).

Computed properties:
Fermi-level density of states (states/eV per cell): 4.93
Final energy (eV/atom): -3.28
Uncorrected formation energy (meV/atom): -1131

Unit cell a=8.4555 b=8.4555 c=7.2133 alpha=90.00 beta=90.00 gamma=120.00
Closest atoms and distances in Å follow each position.
Fractional positions:
Cs: 0.3333 0.6667 0.2691  9 I 4.14-4.23
Cs: 0.6667 0.3333 0.7309  9 I 4.14-4.23
Ca: 0.0000 0.0000 0.0000  6 I 3.09
Fe: 0.0000 0.0000 0.5000  6 I 2.89
I: 0.1627 0.3253 0.7263  1 Fe 2.89, 1 Ca 3.09
I: 0.1627 0.8373 0.7263  1 Fe 2.89, 1 Ca 3.09
I: 0.3253 0.1627 0.2737  1 Fe 2.89, 1 Ca 3.09
I: 0.6747 0.8373 0.7263  1 Fe 2.89, 1 Ca 3.09
I: 0.8373 0.1627 0.2737  1 Fe 2.89, 1 Ca 3.09
I: 0.8373 0.6747 0.2737  1 Fe 2.89, 1 Ca 3.09

---

What is the final energy in the fourth record? -3.59 eV/atom

---

What is the formula in the fifth record? Cs2CaFe